HfInRu after structural relaxation, computed with GGA-PBE.

The structure in POSCAR format:
```
HfInRu
1.0
3.193 0.000 0.000
0.000 3.193 0.000
-1.597 -1.597 5.578
Ru Hf In
1 1 1
direct
0.674 0.674 0.347
0.311 0.311 0.622
0.015 0.015 0.031
```

Output
**Total DFT energy (no corrections)**: -0.2803 Ha/atom
**Formation energy**: -7.03 kcal/mol of atoms